No. 1
A relaxed structure of Pa2FeCo3Si4. Source: the Alexandria database, functional PBE.

abc: 3.9428 3.9428 9.3916
angles: 90.00 90.00 90.00
Space group P-4m2 (No. 115)
Asymmetric unit:
Pa: 0.0000 0.5000 0.2457 [2 per cell]
Fe: 0.5000 0.5000 0.0000 [1 per cell]
Co: 0.0000 0.0000 0.0000 [1 per cell]
Co: 0.0000 0.5000 0.6285 [2 per cell]
Si: 0.0000 0.0000 0.5000 [1 per cell]
Si: 0.0000 0.5000 0.8723 [2 per cell]
Si: 0.5000 0.5000 0.5000 [1 per cell]

Output
**Energy relative to the elements, uncorrected**: -0.77 eV per atom
**Total moment**: 0.0 μB per cell

=====

No. 2
A relaxed structure of TaW2Cl. Source: the Alexandria database, functional PBE.

abc: 2.7830 4.6100 5.3092
angles: 90.00 90.00 90.00
Space group Pmmm (No. 47)
Asymmetric unit:
Ta: 0.0000 0.0000 0.0000 [1 per cell]
W: 0.5000 0.5000 0.2399 [2 per cell]
Cl: 0.0000 0.0000 0.5000 [1 per cell]

Output
**Energy above the most stable polymorph in this dataset**: 498.5 meV/atom
**Energy relative to the elements, uncorrected**: 0.73 eV per atom
**Total moment**: 0.0 μB per cell

=====

No. 3
A relaxed structure of HfTeH. Source: the Alexandria database, functional PBE.

abc: 3.0530 3.0530 50.1202
angles: 90.00 90.00 90.00
Space group P4_122 (No. 91)
Asymmetric unit:
Hf: 0.2136 0.2482 0.2214 [8 per cell]
Te: 0.2395 0.2900 0.5868 [8 per cell]
H: 0.2522 0.2845 0.0361 [8 per cell]

Output
**Total moment**: 0.0 μB per cell
**E**: -134.477 eV/cell

=====

No. 4
A relaxed structure of FePt2. Source: the Alexandria database, functional PBE.

abc: 2.7619 2.7619 6.6978
angles: 90.00 90.00 120.00
Space group P-3m1 (No. 164)
Asymmetric unit:
Fe: 0.0000 0.0000 0.0000 [1 per cell]
Pt: 0.3333 0.6667 0.3162 [2 per cell]

Output
**Total moment**: 3.7 μB per cell
**E**: -21.046 eV/cell